Material: LiPr2Tl8
Method: DFT, PBE-GGA
State: relaxed

```
data_LiPr2Tl8
_symmetry_space_group_name_H-M 'P 4/m m m'
_symmetry_Int_Tables_number 123
_symmetry_space_group_name_Hall '-P 4 2'
_cell_length_a 4.8842
_cell_length_b 4.8842
_cell_length_c 12.7706
_cell_angle_alpha 90.00
_cell_angle_beta 90.00
_cell_angle_gamma 90.00
loop_
_atom_site_label
_atom_site_type_symbol
_atom_site_fract_x
_atom_site_fract_y
_atom_site_fract_z
_atom_site_occupancy
Li1 Li 0.0000 0.0000 0.0000 1
Pr1 Pr 0.0000 0.0000 0.3113 1
Tl1 Tl 0.0000 0.5000 0.1261 1
Tl2 Tl 0.0000 0.5000 0.5000 1
Tl3 Tl 0.5000 0.5000 0.3114 1
```

Density of states at the Fermi level   3.48 states/eV/cell
E_form   -24 kJ/mol of atoms
Total moment   0.000 μB per cell


Material: LiPr2Tl3
Method: DFT, PBE-GGA
State: relaxed

```
data_LiPr2Tl3
_symmetry_space_group_name_H-M 'F m m m'
_symmetry_Int_Tables_number 69
_symmetry_space_group_name_Hall '-F 2 2'
_cell_length_a 7.5406
_cell_length_b 10.0514
_cell_length_c 17.4373
_cell_angle_alpha 90.00
_cell_angle_beta 90.00
_cell_angle_gamma 90.00
loop_
_atom_site_label
_atom_site_type_symbol
_atom_site_fract_x
_atom_site_fract_y
_atom_site_fract_z
_atom_site_occupancy
Li1 Li 0.0000 0.0000 0.1685 1
Pr1 Pr 0.2457 0.0000 0.5000 1
Pr2 Pr 0.2500 0.2500 0.2500 1
Tl1 Tl 0.0000 0.0000 0.3257 1
Tl2 Tl 0.0000 0.2373 0.0878 1
```

Density of states at the Fermi level   31.77 states/eV/cell
E_form   -32 kJ/mol of atoms
Total moment   0.000 μB per cell


Material: Li2PrTl3
Method: DFT, PBE-GGA
State: relaxed

```
data_Li2PrTl3
_symmetry_space_group_name_H-M 'P 63/m m c'
_symmetry_Int_Tables_number 194
_symmetry_space_group_name_Hall '-P 6c 2c'
_cell_length_a 4.9152
_cell_length_b 4.9152
_cell_length_c 14.2664
_cell_angle_alpha 90.00
_cell_angle_beta 90.00
_cell_angle_gamma 120.00
loop_
_atom_site_label
_atom_site_type_symbol
_atom_site_fract_x
_atom_site_fract_y
_atom_site_fract_z
_atom_site_occupancy
Li1 Li 0.3333 0.6667 0.0856 1
Pr1 Pr 0.0000 0.0000 0.2500 1
Tl1 Tl 0.0000 0.0000 0.0000 1
Tl2 Tl 0.3333 0.6667 0.6307 1
```

Density of states at the Fermi level   6.40 states/eV/cell
E_form   -24 kJ/mol of atoms
Total moment   0.000 μB per cell


Material: Li4Pr3Tl4
Method: DFT, PBE-GGA
State: relaxed

```
data_Li4Pr3Tl4
_symmetry_space_group_name_H-M 'I m m m'
_symmetry_Int_Tables_number 71
_symmetry_space_group_name_Hall '-I 2 2'
_cell_length_a 4.8502
_cell_length_b 7.5193
_cell_length_c 15.2852
_cell_angle_alpha 90.00
_cell_angle_beta 90.00
_cell_angle_gamma 90.00
loop_
_atom_site_label
_atom_site_type_symbol
_atom_site_fract_x
_atom_site_fract_y
_atom_site_fract_z
_atom_site_occupancy
Li1 Li 0.0000 0.1851 0.1746 1
Pr1 Pr 0.0000 0.0000 0.3778 1
Pr2 Pr 0.0000 0.5000 0.5000 1
Tl1 Tl 0.0000 0.2929 0.0000 1
Tl2 Tl 0.0000 0.5000 0.2796 1
```

Density of states at the Fermi level   27.06 states/eV/cell
E_form   -27 kJ/mol of atoms
Total moment   0.000 μB per cell